# 1
## NiIrN2 (GGA-PBE)

Data for crystalline NiIrN2 at its relaxed geometry.

Cell and atoms, written as POSCAR:
```
NiIrN2
1.0
-2.631 -4.185 3.461
0.169 -3.881 4.618
-2.011 -1.891 5.366
N Ir Ni
2 1 1
Cartesian
-0.466 -1.037 1.400 N
-4.007 -8.920 12.045 N
-2.236 -4.979 6.723 Ir
0.000 0.000 0.000 Ni
```

space-group type = R-3m (166)
raw formation energy = 0.692 eV/atom
Fermi-level density of states = 1.16 states/eV/atom
E = -7.13 eV/atom
excess energy over the best structure of this formula in the dataset = 0.81 eV/f.u.
calculated density = 9.99 g cm⁻³

***

# 2
## LaTl2ZnP (GGA-PBE)

Data for crystalline LaTl2ZnP at its relaxed geometry.

Cell and atoms, written as POSCAR:
```
LaTl2ZnP
1.0
-2.491 5.977 -0.003
-3.184 -1.325 4.102
4.574 1.908 4.166
P La Tl Zn
1 1 2 1
Cartesian
-1.592 -0.662 2.051 P
0.000 0.000 0.000 La
2.287 0.954 2.083 Tl
-1.245 2.988 -0.002 Tl
-0.550 3.280 4.133 Zn
```

space-group type = P4/mmm (123)
Fermi-level density of states = 1.00 states/eV/atom
E = -2.77 eV/atom
calculated density = 4.76 g cm⁻³
energy relative to the elements = 241 kJ/mol of formula units

***

# 3
## ZnInGa (GGA-PBE)

Data for crystalline ZnInGa at its relaxed geometry.

Cell and atoms, written as POSCAR:
```
ZnInGa
1.0
3.990 -0.215 0.005
-1.677 5.165 -0.123
1.932 -0.668 6.126
Ga Zn In
2 2 2
Cartesian
-0.600 4.504 2.228 Ga
3.208 1.564 3.001 Ga
3.134 0.033 0.743 Zn
1.151 0.869 4.609 Zn
1.344 3.727 4.628 In
1.262 2.340 0.601 In
```

space-group type = P-1 (2)
Fermi-level density of states = 0.40 states/eV/atom
E = -2.31 eV/atom
calculated density = 6.71 g cm⁻³
energy relative to the elements = 12 kJ/mol of formula units

***

# 4
## KLaBr2 (GGA-PBE)

Data for crystalline KLaBr2 at its relaxed geometry.

Cell and atoms, written as POSCAR:
```
KLaBr2
1.0
-3.769 -3.895 -0.045
-1.422 -2.449 4.622
-4.881 0.927 2.168
Br K La
2 1 1
Cartesian
-2.518 -1.355 1.686 Br
-7.554 -4.064 5.059 Br
0.000 0.000 0.000 K
-5.036 -2.709 3.373 La
```

space-group type = Fm-3m (225)
raw formation energy = -1.019 eV/atom
Fermi-level density of states = 1.34 states/eV/atom
E = -3.36 eV/atom
excess energy over the best structure of this formula in the dataset = 1.64 eV/f.u.
calculated density = 4.98 g cm⁻³

***

# 5
## ZrCuCl2 (GGA-PBE)

Data for crystalline ZrCuCl2 at its relaxed geometry.

Cell and atoms, written as POSCAR:
```
ZrCuCl2
1.0
-4.423 3.347 2.290
-2.657 0.169 -5.378
-6.049 -2.318 -0.433
Cl Zr Cu
4 2 2
Cartesian
-3.909 0.084 -3.088 Cl
-10.621 1.331 -2.803 Cl
-4.425 1.395 0.556 Cl
-7.302 -0.413 -1.706 Cl
0.000 0.000 0.000 Zr
-7.006 1.394 0.157 Zr
-6.123 -0.195 -3.677 Cu
-3.540 1.758 -1.544 Cu
```

space-group type = I-42d (122)
raw formation energy = -0.103 eV/atom
Fermi-level density of states = 0.67 states/eV/atom
E = -4.19 eV/atom
excess energy over the best structure of this formula in the dataset = 2.94 eV/f.u.
calculated density = 4.24 g cm⁻³

***

# 6
## PmPuSc2P4 (GGA-PBE)

Data for crystalline PmPuSc2P4 at its relaxed geometry.

Cell and atoms, written as POSCAR:
```
PmPuSc2P4
1.0
3.927 0.000 0.000
0.000 6.732 -0.114
0.000 2.387 6.355
P Pu Sc Pm
4 1 2 1
Cartesian
1.963 3.374 4.818 P
3.927 2.176 1.556 P
1.963 5.745 1.423 P
0.000 6.943 4.685 P
1.963 5.753 6.298 Pu
1.963 1.194 3.177 Sc
0.000 2.387 6.355 Sc
0.000 4.559 3.120 Pm
```

space-group type = P2/m (10)
Fermi-level density of states = 1.39 states/eV/atom
E = -8.06 eV/atom
calculated density = 5.92 g cm⁻³
energy relative to the elements = -1074 kJ/mol of formula units

***

# 7
## DyY5Th2 (GGA-PBE)

Data for crystalline DyY5Th2 at its relaxed geometry.

Cell and atoms, written as POSCAR:
```
DyY5Th2
1.0
-6.725 3.659 -4.368
2.844 -3.700 -7.478
-1.827 -5.408 7.176
Y Th Dy
10 4 2
Cartesian
0.334 -6.656 -3.366 Y
-2.597 -4.402 -2.414 Y
-3.111 -1.046 -2.257 Y
-0.386 -3.605 -5.149 Y
-5.322 -1.844 0.479 Y
-6.042 1.207 -1.304 Y
-1.941 -0.020 -5.923 Y
-6.510 -1.856 -3.149 Y
0.000 0.000 0.000 Y
0.802 -3.593 -1.521 Y
-3.965 0.780 -8.542 Th
-3.906 1.824 -3.841 Th
0.024 -1.865 -8.005 Th
0.083 -0.821 -3.304 Th
-1.884 -2.714 0.626 Dy
-3.824 -2.735 -5.297 Dy
```

space-group type = I4/mcm (140)
Fermi-level density of states = 1.34 states/eV/atom
E = -6.33 eV/atom
excess energy over the best structure of this formula in the dataset = 0.00 eV/f.u.
calculated density = 6.81 g cm⁻³
energy relative to the elements = 107 kJ/mol of formula units

***

# 8
## Cs5CdSeO2 (GGA-PBE)

Data for crystalline Cs5CdSeO2 at its relaxed geometry.

Cell and atoms, written as POSCAR:
```
Cs5CdSeO2
1.0
6.010 0.000 0.000
0.000 6.010 0.000
0.000 0.000 10.215
O Cs Cd Se
2 5 1 1
Cartesian
0.000 0.000 8.165 O
0.000 0.000 2.050 O
0.000 3.005 2.551 Cs
0.000 0.000 5.108 Cs
3.005 0.000 2.551 Cs
0.000 3.005 7.664 Cs
3.005 0.000 7.664 Cs
0.000 0.000 0.000 Cd
3.005 3.005 5.108 Se
```

space-group type = P4/mmm (123)
raw formation energy = -0.941 eV/atom
Fermi-level density of states = 0.22 states/eV/atom
E = -3.01 eV/atom
calculated density = 4.00 g cm⁻³